(1)
Material: Cs2NdMgF6
Method: DFT, GGA-PBE
State: relaxed Values from VASP.

```
&SYSTEM
  ibrav = 0, nat = 10, ntyp = 4
/
ATOMIC_SPECIES
Cs 132.91 Cs.upf
Nd 144.24 Nd.upf
Mg 24.30 Mg.upf
F 19.00 F.upf
ATOMIC_POSITIONS crystal
Cs 0.247 0.247 0.000
Cs 0.753 0.753 0.000
Nd 0.000 0.500 0.500
Mg 0.500 0.000 0.500
F 0.265 0.765 0.500
F 0.289 0.242 0.531
F 0.289 0.758 0.046
F 0.711 0.242 0.954
F 0.711 0.758 0.469
F 0.735 0.235 0.500
CELL_PARAMETERS angstrom
-3.093 3.361 4.430
3.093 -3.361 4.430
3.093 3.361 -4.430
```

Fermi-level density of states, states/eV per atom: 0.2928

---

(2)
Material: Cs2MgNpF6
Method: DFT, GGA-PBE
State: relaxed Values from VASP.

```
&SYSTEM
  ibrav = 0, nat = 20, ntyp = 4
/
ATOMIC_SPECIES
Cs 132.91 Cs.upf
Mg 24.30 Mg.upf
Np 237.00 Np.upf
F 19.00 F.upf
ATOMIC_POSITIONS crystal
Cs 0.250 0.006 0.153
Cs 0.250 0.494 0.153
Cs 0.750 0.506 0.847
Cs 0.750 0.994 0.847
Mg 0.250 0.250 0.741
Mg 0.750 0.750 0.259
Np 0.250 0.750 0.605
Np 0.750 0.250 0.395
F 0.029 0.250 0.556
F 0.040 0.250 0.921
F 0.250 0.506 0.740
F 0.250 0.994 0.740
F 0.460 0.250 0.921
F 0.471 0.250 0.556
F 0.529 0.750 0.444
F 0.540 0.750 0.079
F 0.750 0.006 0.260
F 0.750 0.494 0.260
F 0.960 0.750 0.079
F 0.971 0.750 0.444
CELL_PARAMETERS angstrom
6.667 0.000 0.000
0.000 8.225 0.000
0.000 0.000 7.816
```

Fermi-level density of states, states/eV per atom: 0.8130

---

(3)
Material: CsMgNpF6
Method: DFT, GGA-PBE
State: relaxed Values from VASP.

```
&SYSTEM
  ibrav = 0, nat = 18, ntyp = 4
/
ATOMIC_SPECIES
Cs 132.91 Cs.upf
Mg 24.30 Mg.upf
Np 237.00 Np.upf
F 19.00 F.upf
ATOMIC_POSITIONS crystal
Cs 0.338 0.088 0.250
Cs 0.662 0.912 0.750
Mg 0.000 0.000 0.500
Mg 0.000 0.500 0.000
Np 0.000 0.500 0.500
Np 0.500 0.500 0.000
F 0.042 0.292 0.750
F 0.044 0.362 0.175
F 0.044 0.869 0.682
F 0.314 0.131 0.675
F 0.314 0.638 0.182
F 0.359 0.609 0.750
F 0.641 0.391 0.250
F 0.686 0.362 0.818
F 0.686 0.869 0.325
F 0.956 0.131 0.318
F 0.956 0.638 0.825
F 0.958 0.708 0.250
CELL_PARAMETERS angstrom
-3.810 4.055 5.259
3.810 -4.055 5.259
3.810 4.055 -5.259
```

Fermi-level density of states, states/eV per atom: 0.8853

---

(4)
Material: CsMg2NpF8
Method: DFT, GGA-PBE
State: relaxed Values from VASP.

```
&SYSTEM
  ibrav = 0, nat = 12, ntyp = 4
/
ATOMIC_SPECIES
Cs 132.91 Cs.upf
Mg 24.30 Mg.upf
Np 237.00 Np.upf
F 19.00 F.upf
ATOMIC_POSITIONS crystal
Cs 0.000 0.000 0.000
Mg 0.251 0.251 0.251
Mg 0.749 0.749 0.749
Np 0.500 0.500 0.500
F 0.098 0.755 0.485
F 0.245 0.515 0.902
F 0.324 0.324 0.324
F 0.485 0.098 0.755
F 0.515 0.902 0.245
F 0.676 0.676 0.676
F 0.755 0.485 0.098
F 0.902 0.245 0.515
CELL_PARAMETERS angstrom
2.852 1.646 8.299
-2.852 1.646 8.299
0.000 -3.293 8.299
```

Fermi-level density of states, states/eV per atom: 0.1263

---

(5)
Material: Cs2MgOF6
Method: DFT, GGA-PBE
State: relaxed Values from VASP.

```
&SYSTEM
  ibrav = 0, nat = 10, ntyp = 4
/
ATOMIC_SPECIES
Cs 132.91 Cs.upf
Mg 24.30 Mg.upf
O 16.00 O.upf
F 19.00 F.upf
ATOMIC_POSITIONS crystal
Cs 0.250 0.750 0.500
Cs 0.750 0.250 0.500
Mg 0.000 0.000 0.000
O 0.500 0.500 0.000
F 0.172 0.172 0.000
F 0.273 0.273 0.547
F 0.273 0.727 0.000
F 0.727 0.273 0.000
F 0.727 0.727 0.453
F 0.828 0.828 0.000
CELL_PARAMETERS angstrom
-2.815 2.815 5.492
2.815 -2.815 5.492
2.815 2.815 -5.492
```

Fermi-level density of states, states/eV per atom: 0.0000

---

(6)
Material: CsMgOF2
Method: DFT, GGA-PBE
State: relaxed Values from VASP.

```
&SYSTEM
  ibrav = 0, nat = 5, ntyp = 4
/
ATOMIC_SPECIES
Cs 132.91 Cs.upf
Mg 24.30 Mg.upf
O 16.00 O.upf
F 19.00 F.upf
ATOMIC_POSITIONS crystal
Cs 0.000 0.000 0.000
Mg 0.500 0.500 0.500
O 0.000 0.000 0.500
F 0.000 0.500 0.000
F 0.500 0.000 0.000
CELL_PARAMETERS angstrom
5.127 0.000 0.000
0.000 5.127 0.000
0.000 0.000 4.604
```

Fermi-level density of states, states/eV per atom: 0.6101

---

(7)
Material: Cs2Mg3PaF12
Method: DFT, GGA-PBE
State: relaxed Values from VASP.

```
&SYSTEM
  ibrav = 0, nat = 18, ntyp = 4
/
ATOMIC_SPECIES
Cs 132.91 Cs.upf
Mg 24.30 Mg.upf
Pa 231.04 Pa.upf
F 19.00 F.upf
ATOMIC_POSITIONS crystal
Cs 0.101 0.101 0.101
Cs 0.899 0.899 0.899
Mg 0.000 0.500 0.500
Mg 0.500 0.000 0.500
Mg 0.500 0.500 0.000
Pa 0.500 0.500 0.500
F 0.146 0.592 0.592
F 0.204 0.204 0.583
F 0.204 0.583 0.204
F 0.408 0.408 0.854
F 0.408 0.854 0.408
F 0.417 0.796 0.796
F 0.583 0.204 0.204
F 0.592 0.146 0.592
F 0.592 0.592 0.146
F 0.796 0.417 0.796
F 0.796 0.796 0.417
F 0.854 0.408 0.408
CELL_PARAMETERS angstrom
3.769 2.176 6.334
-3.769 2.176 6.334
0.000 -4.352 6.334
```

---

(8)
Material: CsMgPdF6
Method: DFT, GGA-PBE
State: relaxed Values from VASP.

```
&SYSTEM
  ibrav = 0, nat = 18, ntyp = 4
/
ATOMIC_SPECIES
Cs 132.91 Cs.upf
Mg 24.30 Mg.upf
Pd 106.42 Pd.upf
F 19.00 F.upf
ATOMIC_POSITIONS crystal
Cs 0.361 0.111 0.250
Cs 0.639 0.889 0.750
Mg 0.000 0.000 0.500
Mg 0.000 0.500 0.000
Pd 0.000 0.500 0.500
Pd 0.500 0.500 0.000
F 0.061 0.422 0.239
F 0.061 0.822 0.639
F 0.063 0.813 0.250
F 0.317 0.178 0.739
F 0.317 0.578 0.139
F 0.322 0.572 0.750
F 0.678 0.428 0.250
F 0.683 0.422 0.861
F 0.683 0.822 0.261
F 0.937 0.187 0.750
F 0.939 0.178 0.361
F 0.939 0.578 0.761
CELL_PARAMETERS angstrom
-3.638 4.027 5.196
3.638 -4.027 5.196
3.638 4.027 -5.196
```

---

Raw formation energy for the records above, in order: -3.104, -2.920, -3.313, -3.256, -2.015, -0.746, -3.465, -2.430 eV per atom
Total moment for the records above, in order: 0.10, 0.49, 0.44, 0.33, 0.00, 0.00, 0.06, 0.00 μB per atom